1.
This record from the Alexandria database describes crystalline Nd3Ho6Mg at its relaxed geometry. The functional is GGA-PBE.

Structure (CIF):
```
data_Nd3Ho6Mg
_space_group_name_H-M_alt 'P 1'
_space_group_IT_number 1
_space_group_name_Hall 'P 1'
_cell_length_a 5.0679
_cell_length_b 11.1029
_cell_length_c 11.2507
_cell_angle_alpha 90.96
_cell_angle_beta 90.00
_cell_angle_gamma 90.00
loop_
_atom_site_label
_atom_site_type_symbol
_atom_site_fract_x
_atom_site_fract_y
_atom_site_fract_z
Ho1 Ho 0.7500 0.9534 0.1032
Ho2 Ho 0.7500 0.5530 0.8976
Ho3 Ho 0.2500 0.6567 0.7010
Ho4 Ho 0.7500 0.3433 0.2990
Ho5 Ho 0.2500 0.0466 0.8968
Ho6 Ho 0.7500 0.7607 0.5041
Ho7 Ho 0.2500 0.1502 0.1935
Ho8 Ho 0.2500 0.8582 0.3094
Ho9 Ho 0.7500 0.8498 0.8065
Ho10 Ho 0.2500 0.4470 0.1024
Ho11 Ho 0.2500 0.2393 0.4959
Ho12 Ho 0.7500 0.1418 0.6906
Nd1 Nd 0.7500 0.6536 0.2054
Nd2 Nd 0.2500 0.3464 0.7946
Nd3 Nd 0.7500 0.4485 0.5983
Nd4 Nd 0.2500 0.7535 0.0050
Nd5 Nd 0.7500 0.2465 0.9950
Nd6 Nd 0.2500 0.5515 0.4017
Mg1 Mg 0.7500 0.0515 0.3970
Mg2 Mg 0.2500 0.9485 0.6030
```

Properties
formation energy from the elements: 27 meV/atom
total energy: -4.3096 eV per atom
space group: P2_1/m (11)

***

2.
This record from the Alexandria database describes crystalline K2NaBr2 at its relaxed geometry. The functional is GGA-PBE.

Structure (CIF):
```
data_K2NaBr2
_space_group_name_H-M_alt 'P 1'
_space_group_IT_number 1
_space_group_name_Hall 'P 1'
_cell_length_a 6.1372
_cell_length_b 6.1372
_cell_length_c 7.9392
_cell_angle_alpha 67.26
_cell_angle_beta 67.26
_cell_angle_gamma 90.00
loop_
_atom_site_label
_atom_site_type_symbol
_atom_site_fract_x
_atom_site_fract_y
_atom_site_fract_z
K1 K 0.3204 0.3204 0.3592
K2 K 0.6796 0.6796 0.6408
Br1 Br 0.2500 0.7500 0.5000
Br2 Br 0.7500 0.2500 0.5000
Na1 Na 0.0000 0.0000 0.0000
```

Properties
total energy: -2.4755 eV per atom
space group: I4/mmm (139)
formation energy without anion corrections: -1.104 eV per atom